Entry 1:
First-principles (PBE) data for SiPd2Au after structural relaxation, as listed in OQMD via LeMat-Bulk.

The space group is F-43m (No. 216) and the conventional cell measures 6.253, 6.253 and 6.253 Å, with angles of 90.00, 90.00 and 90.00 degrees. The inequivalent atoms are Si at (0.000, 0.000, 0.000), Pd at (0.000, 0.000, 0.500), Pd at (0.250, 0.250, 0.750) and Au at (0.250, 0.250, 0.250).

=====

Entry 2:
First-principles (PBE) data for Hf2ReNi after structural relaxation, as listed in OQMD via LeMat-Bulk.

The space group is Fm-3m (No. 225) and the conventional cell measures 6.458, 6.458 and 6.458 Å, with angles of 90.00, 90.00 and 90.00 degrees. The inequivalent atoms are Hf at (0.250, 0.250, 0.250), Re at (0.000, 0.000, 0.000) and Ni at (0.000, 0.000, 0.500).

The energy above the most stable polymorph in this dataset comes out at 7 meV/atom.

=====

Entry 3:
First-principles (PBE) data for ScCuIrPb after structural relaxation, as listed in OQMD via LeMat-Bulk.

The space group is F-43m (No. 216) and the conventional cell measures 6.577, 6.577 and 6.577 Å, with angles of 90.00, 90.00 and 90.00 degrees. The inequivalent atoms are Sc at (0.000, 0.000, 0.000), Cu at (0.250, 0.250, 0.750), Ir at (0.250, 0.250, 0.250) and Pb at (0.000, 0.000, 0.500).

The energy above the most stable polymorph in this dataset comes out at 0 meV/atom.

=====

Entry 4:
First-principles (PBE) data for NaLuSiNi after structural relaxation, as listed in OQMD via LeMat-Bulk.

The space group is F-43m (No. 216) and the conventional cell measures 6.386, 6.386 and 6.386 Å, with angles of 90.00, 90.00 and 90.00 degrees. The inequivalent atoms are Na at (0.000, 0.000, 0.000), Lu at (0.250, 0.250, 0.250), Si at (0.250, 0.250, 0.750) and Ni at (0.000, 0.000, 0.500).

The energy above the most stable polymorph in this dataset comes out at 0 meV/atom.

=====

Entry 5:
First-principles (PBE) data for TePdPbO after structural relaxation, as listed in OQMD via LeMat-Bulk.

The space group is Pca2_1 (No. 29) and the conventional cell measures 6.672, 9.101 and 5.867 Å, with angles of 90.00, 90.00 and 90.00 degrees. The inequivalent atoms are Te at (0.062, 0.000, 0.000), Pd at (0.229, 0.252, 0.987), Pb at (0.117, 0.628, 0.745) and O at (0.144, 0.468, 0.444).

The energy above the most stable polymorph in this dataset comes out at 153 meV/atom.

=====

Entry 6:
First-principles (PBE) data for RbFeAgTe2Se after structural relaxation, as listed in OQMD via LeMat-Bulk.

The space group is Cmcm (No. 63) and the conventional cell measures 3.985, 15.969 and 10.765 Å, with angles of 90.00, 90.00 and 90.00 degrees. The inequivalent atoms are Rb at (0.000, 0.247, 0.250), Fe at (0.000, 0.000, 0.000), Ag at (0.000, 0.457, 0.750), Te at (0.000, 0.389, 0.519) and Se at (0.000, 0.065, 0.750).

=====

Entry 7:
First-principles (PBE) data for Cu2Te2PdSe after structural relaxation, as listed in OQMD via LeMat-Bulk.

The space group is C2/m (No. 12) and the conventional cell measures 19.164, 3.928 and 7.050 Å, with angles of 90.00, 96.95 and 90.00 degrees. The inequivalent atoms are Cu at (0.041, 0.000, 0.157), Cu at (0.211, 0.500, 0.430), Te at (0.076, 0.500, 0.386), Te at (0.247, 0.000, 0.208), Pd at (0.151, 0.500, 0.048) and Se at (0.088, 0.000, 0.856).

=====

Entry 8:
First-principles (PBE) data for RbPtO3 after structural relaxation, as listed in OQMD via LeMat-Bulk.

The space group is P4mm (No. 99) and the conventional cell measures 3.911, 3.911 and 4.709 Å, with angles of 90.00, 90.00 and 90.00 degrees. The inequivalent atoms are Rb at (0.000, 0.000, 0.000), Pt at (0.500, 0.500, 0.471), O at (0.000, 0.500, 0.549) and O at (0.500, 0.500, 0.064).

=====

Entry 9:
First-principles (PBE) data for KAgIrS3 after structural relaxation, as listed in OQMD via LeMat-Bulk.

The space group is Cmcm (No. 63) and the conventional cell measures 3.711, 14.579 and 9.767 Å, with angles of 90.00, 90.00 and 90.00 degrees. The inequivalent atoms are K at (0.000, 0.242, 0.250), Ag at (0.000, 0.064, 0.750), Ir at (0.000, 0.500, 0.000), S at (0.000, 0.107, 0.513) and S at (0.000, 0.441, 0.750).

=====

Entry 10:
First-principles (PBE) data for Cu2Ag3 after structural relaxation, as listed in OQMD via LeMat-Bulk.

The space group is C2/m (No. 12) and the conventional cell measures 9.371, 2.848 and 11.734 Å, with angles of 90.00, 99.58 and 90.00 degrees. The inequivalent atoms are Cu at (0.117, 0.000, 0.187), Cu at (0.208, 0.000, 0.912), Ag at (0.000, 0.000, 0.500), Ag at (0.000, 0.500, 0.000), Ag at (0.089, 0.500, 0.725) and Ag at (0.205, 0.500, 0.388).

The energy above the most stable polymorph in this dataset comes out at 37 meV/atom.

=====

Entry 11:
First-principles (PBE) data for MgCuSb after structural relaxation, as listed in OQMD via LeMat-Bulk.

The space group is P6_3mc (No. 186) and the conventional cell measures 4.3675, 4.3675 and 7.1956 Å, with angles of 90.00, 90.00 and 120.00 degrees. The inequivalent atoms are Mg at (0.0000, 0.0000, 0.0000), Cu at (0.3333, 0.6667, 0.3565) and Sb at (0.3333, 0.6667, 0.7324).

=====

Entry 12:
First-principles (PBE) data for GaNiOsPd after structural relaxation, as listed in OQMD via LeMat-Bulk.

The space group is F-43m (No. 216) and the conventional cell measures 6.073, 6.073 and 6.073 Å, with angles of 90.00, 90.00 and 90.00 degrees. The inequivalent atoms are Ga at (0.000, 0.000, 0.000), Ni at (0.250, 0.250, 0.250), Os at (0.000, 0.000, 0.500) and Pd at (0.250, 0.250, 0.750).

=====

Entry 13:
First-principles (PBE) data for SmAsN2O after structural relaxation, as listed in OQMD via LeMat-Bulk.

The space group is Pmc2_1 (No. 26) and the conventional cell measures 3.489, 6.155 and 5.716 Å, with angles of 90.00, 90.00 and 90.00 degrees. The inequivalent atoms are Sm at (0.000, 0.158, 0.000), As at (0.500, 0.334, 0.530), N at (0.000, 0.220, 0.582), N at (0.500, 0.417, 0.870) and O at (0.500, 0.095, 0.293).

=====

Entry 14:
First-principles (PBE) data for AsPdPbO after structural relaxation, as listed in OQMD via LeMat-Bulk.

The space group is P4/nmm (No. 129, origin choice 2) and the conventional cell measures 4.481, 4.481 and 8.139 Å, with angles of 90.00, 90.00 and 90.00 degrees. The inequivalent atoms are As at (0.250, 0.250, 0.232), Pd at (0.250, 0.250, 0.530), Pb at (0.250, 0.750, 0.000) and O at (0.250, 0.750, 0.500).

The energy above the most stable polymorph in this dataset comes out at 789 meV/atom.

=====

Entry 15:
First-principles (PBE) data for ZrB2Te3 after structural relaxation, as listed in OQMD via LeMat-Bulk.

The space group is C2/m (No. 12) and the conventional cell measures 17.708, 3.492 and 8.295 Å, with angles of 90.00, 98.62 and 90.00 degrees. The inequivalent atoms are Zr at (0.125, 0.000, 0.068), B at (0.073, 0.500, 0.238), B at (0.236, 0.000, 0.519), Te at (0.058, 0.500, 0.802), Te at (0.104, 0.000, 0.421) and Te at (0.243, 0.000, 0.813).

=====

Entry 16:
First-principles (PBE) data for NpTaIn after structural relaxation, as listed in OQMD via LeMat-Bulk.

The space group is F-43m (No. 216) and the conventional cell measures 6.818, 6.818 and 6.818 Å, with angles of 90.00, 90.00 and 90.00 degrees. The inequivalent atoms are Np at (0.000, 0.000, 0.000), Ta at (0.000, 0.000, 0.500) and In at (0.250, 0.250, 0.250).

=====

Entry 17:
First-principles (PBE) data for LuAgSn2 after structural relaxation, as listed in OQMD via LeMat-Bulk.

The space group is F-43m (No. 216) and the conventional cell measures 6.266, 6.266 and 6.266 Å, with angles of 90.00, 90.00 and 90.00 degrees. The inequivalent atoms are Lu at (0.000, 0.000, 0.000), Ag at (0.250, 0.250, 0.750), Sn at (0.000, 0.000, 0.500) and Sn at (0.250, 0.250, 0.250).

=====

Entry 18:
First-principles (PBE) data for RbErCdTe3 after structural relaxation, as listed in OQMD via LeMat-Bulk.

The space group is P2_1/m (No. 11) and the conventional cell measures 9.331, 4.490 and 11.369 Å, with angles of 90.00, 110.15 and 90.00 degrees. The inequivalent atoms are Rb at (0.249, 0.250, 0.279), Er at (0.320, 0.750, 0.866), Cd at (0.079, 0.250, 0.612), Te at (0.088, 0.250, 0.862), Te at (0.244, 0.750, 0.561) and Te at (0.459, 0.750, 0.146).

=====

Entry 19:
First-principles (PBE) data for TmTa2 after structural relaxation, as listed in OQMD via LeMat-Bulk.

The space group is Fd-3m (No. 227, origin choice 2) and the conventional cell measures 12.043, 12.043 and 12.043 Å, with angles of 90.00, 90.00 and 90.00 degrees. The inequivalent atoms are Tm at (0.125, 0.125, 0.125) and Ta at (0.000, 0.000, 0.000).

The energy above the most stable polymorph in this dataset comes out at 4407 meV/atom.

=====

Entry 20:
First-principles (PBE) data for LiBeFePb after structural relaxation, as listed in OQMD via LeMat-Bulk.

The space group is F-43m (No. 216) and the conventional cell measures 5.993, 5.993 and 5.993 Å, with angles of 90.00, 90.00 and 90.00 degrees. The inequivalent atoms are Li at (0.000, 0.000, 0.000), Be at (0.000, 0.000, 0.500), Fe at (0.250, 0.250, 0.250) and Pb at (0.250, 0.250, 0.750).

The energy above the most stable polymorph in this dataset comes out at 77 meV/atom.

=====

Calculated energy in order - -4.908 -9.901 -5.886 -4.369 -4.697 -3.853 -3.865 -4.875 -4.479 -3.112 -3.347 -6.025 -7.047 -4.445 -5.289 -8.014 -2.433 -3.688 -4.748 -3.985 eV/atom
Calculated calculated volume in order - 244.5 269.4 284.5 260.4 356.3 685.0 526.8 72.0 528.5 308.8 118.9 223.9 122.8 163.4 507.1 316.9 246.0 447.2 1746.6 215.3 Å³ per cell